Record 1
VASP calculation (meta-GGA SCAN) on a crystal of FeCo3 relaxed with PBEsol.

Computed properties:
- magnetization (Bohr magnetons per cell) = 7.7
- DFT total energy (eV/atom) = -17.423
- energy of formation (meV per atom) = 87.5
- crystal system = hexagonal

Lattice parameters (Å, degrees): 2.4489 2.4489 8.0462 90.00 90.00 120.00
Space group P-6m2 (No. 187)
Asymmetric unit:
Fe: 0.0000 0.0000 0.0000
Co: 0.0000 0.0000 0.5000
Co: 0.3333 0.6667 0.2546



Record 2
VASP calculation (meta-GGA SCAN) on a crystal of CaTcPb relaxed with PBEsol.

Computed properties:
- magnetization (Bohr magnetons per cell) = 2.0
- DFT total energy (eV/atom) = -39.876
- energy of formation (meV per atom) = 291.7
- crystal system = hexagonal

Lattice parameters (Å, degrees): 4.8135 4.8135 3.3249 90.00 90.00 120.00
Space group P-6m2 (No. 187)
Asymmetric unit:
Ca: 0.0000 0.0000 0.0000
Tc: 0.3333 0.6667 0.5000
Pb: 0.6667 0.3333 0.5000



Record 3
VASP calculation (meta-GGA SCAN) on a crystal of ScSnO3 relaxed with PBEsol.

Computed properties:
- magnetization (Bohr magnetons per cell) = 0.9
- DFT total energy (eV/atom) = -15.508
- formation energy (no corrections) (eV per atom) = -1.74
- crystal system = cubic

Lattice parameters (Å, degrees): 4.019 4.019 4.019 90.00 90.00 90.00
Space group Pm-3m (No. 221)
Asymmetric unit:
Sc: 0.000 0.000 0.000
Sn: 0.500 0.500 0.500
O: 0.000 0.500 0.500



Q: What is the DFT total energy in the first record?
A: -17.423 eV/atom